PBr3O | GGA-PBE | optimized geometry

Cell: 4.7129 4.7129 4.7129 Å, 90.00 90.00 90.00°
With the nearest neighbours (Å) after each atom.
Positions (direct):
P 0.0000 0.0000 0.0000  12 Br 3.33
Br 0.0000 0.5000 0.5000  2 O 2.36
Br 0.5000 0.0000 0.5000  2 O 2.36
Br 0.5000 0.5000 0.0000  2 O 2.36
O 0.5000 0.5000 0.5000  6 Br 2.36

Values from the calculation:
As for the density of states at the Fermi level: 0.78 states/eV per atom. The magnetic moment is 0.00 μB/atom. The uncorrected formation energy comes out at 0.981 eV/atom. As for the crystal system: cubic. The space-group type is Pm-3m (221).


TaV2Ru | GGA-PBE | optimized geometry

Cell: 3.0660 3.0660 6.2651 Å, 90.00 90.00 90.00°
With the nearest neighbours (Å) after each atom.
Positions (direct):
Ta 0.0000 0.0000 0.0000  8 V 2.71
V 0.5000 0.5000 0.2594  4 Ru 2.64, 4 Ta 2.71
V 0.5000 0.5000 0.7406  4 Ru 2.64, 4 Ta 2.71
Ru 0.0000 0.0000 0.5000  8 V 2.64

Values from the calculation:
As for the density of states at the Fermi level: 0.60 states/eV per atom. The magnetic moment is 0.00 μB/atom. As for the crystal system: tetragonal. The space-group type is P4/mmm (123). The value obtained for the formation energy is -0.22 eV per atom.


Sc3SiPb | GGA-PBE | optimized geometry

Cell: 5.3216 5.3216 5.3216 Å, 90.00 90.00 90.00°
With the nearest neighbours (Å) after each atom.
Positions (direct):
Sc 0.0000 0.0000 0.5000  2 Pb 2.66
Sc 0.0000 0.5000 0.0000  2 Pb 2.66
Sc 0.5000 0.0000 0.0000  2 Pb 2.66
Si 0.5000 0.5000 0.5000  12 Sc 3.76
Pb 0.0000 0.0000 0.0000  6 Sc 2.66

Values from the calculation:
As for the density of states at the Fermi level: 1.13 states/eV per atom. The magnetic moment is 0.00 μB/atom. The uncorrected formation energy comes out at 0.581 eV/atom. As for the crystal system: cubic. The space-group type is Pm-3m (221).


La2YTh | GGA-PBE | optimized geometry

Cell: 12.0766 12.0766 12.0766 Å, 17.37 17.37 17.37°
With the nearest neighbours (Å) after each atom.
Positions (direct):
La 0.2481 0.2481 0.2481  3 Th 3.59, 6 La 3.65, 3 Y 3.70
La 0.7519 0.7519 0.7519  3 Th 3.59, 6 La 3.65, 3 Y 3.70
Y 0.0000 0.0000 0.0000  6 Y 3.65, 6 La 3.70
Th 0.5000 0.5000 0.5000  6 La 3.59, 6 Th 3.65

Values from the calculation:
As for the density of states at the Fermi level: 1.83 states/eV per atom. The magnetic moment is 0.00 μB/atom. As for the crystal system: trigonal. The space-group type is R-3m (166). The value obtained for the formation energy is 0.03 eV per atom.